MnZn2Fe, relaxed, DFT GGA-PBEsol; polymorph energy (0 for the lowest one) = 0.000 eV/atom; SG = P4mm (99); ΔE_f = 0.02 eV per atom; D(E_F) = 0.77 states/eV per atom
1.0
-1.571 -1.000 1.810
-0.726 -1.862 -1.658
5.190 -4.044 2.270
Zn Fe Mn
2 1 1
Direct
0.500 0.500 0.270
0.000 0.000 0.982
0.000 0.000 0.525
0.500 0.500 0.722